! KY3Tl | Alexandria | PBE | optimized geometry; values from VASP
&SYSTEM
  ibrav = 0, nat = 5, ntyp = 3
/
ATOMIC_SPECIES
Y 88.91 Y.upf
Tl 204.38 Tl.upf
K 39.10 K.upf
CELL_PARAMETERS angstrom
5.487 0.000 0.000
0.000 5.487 0.000
0.000 0.000 5.487
ATOMIC_POSITIONS crystal
Y 0.000 0.500 0.000
Y 0.000 0.000 0.500
Y 0.500 0.000 0.000
Tl 0.500 0.500 0.500
K 0.000 0.000 0.000
! DFT total energy (eV/cell): -17.17
! Formation energy from the elements (meV/atom): 1136
! Total magnetization (Bohr magnetons per cell): 0.0
! Density (kg/m³): 5128
! E above lowest polymorph (meV per atom): 739